An optimized crystal structure of TaZn3Pd. Source: the Alexandria database, functional PBE.

Unit cell a=4.9592 b=4.9592 c=4.9592 alpha=90.00 beta=90.00 gamma=90.00
Closest atoms and distances in Å follow each position.
Fractional positions:
Pd 0.5000 0.5000 0.5000  12 Zn 3.51
Ta 0.0000 0.0000 0.0000  6 Zn 2.48
Zn 0.0000 0.5000 0.0000  2 Ta 2.48
Zn 0.5000 0.0000 0.0000  2 Ta 2.48
Zn 0.0000 0.0000 0.5000  2 Ta 2.48

**Volume**: 122 Å³/cell
**Fermi-level density of states**: 5.38 states/eV/cell
**Total magnetic moment**: 0.00 Bohr magnetons per cell
**Raw total energy**: -14.417 eV/cell

***

An optimized crystal structure of CaInMo3. Source: the Alexandria database, functional PBE.

Unit cell a=4.6847 b=4.6847 c=4.6847 alpha=90.00 beta=90.00 gamma=90.00
Closest atoms and distances in Å follow each position.
Fractional positions:
Mo 0.0000 0.5000 0.0000  2 Ca 2.34
Mo 0.0000 0.0000 0.5000  2 Ca 2.34
Mo 0.5000 0.0000 0.0000  2 Ca 2.34
In 0.5000 0.5000 0.5000  12 Mo 3.31
Ca 0.0000 0.0000 0.0000  6 Mo 2.34

**Volume**: 103 Å³/cell
**Fermi-level density of states**: 4.99 states/eV/cell
**Total magnetic moment**: 0.00 Bohr magnetons per cell
**Raw total energy**: -25.298 eV/cell

***

An optimized crystal structure of Bi2Os2Pd. Source: the Alexandria database, functional PBE.

Unit cell a=7.8750 b=7.8750 c=3.1881 alpha=90.00 beta=90.00 gamma=90.00
Closest atoms and distances in Å follow each position.
Fractional positions:
Pd 0.0000 0.0000 0.0000  4 Bi 2.96, 2 Pd 3.19
Pd 0.5000 0.5000 0.0000  4 Bi 2.96, 2 Pd 3.19
Os 0.1370 0.6370 0.5000  6 Bi 2.77-2.83, 1 Os 3.05
Os 0.6370 0.8630 0.5000  6 Bi 2.77-2.83, 1 Os 3.05
Os 0.3630 0.1370 0.5000  6 Bi 2.77-2.83, 1 Os 3.05
Os 0.8630 0.3630 0.5000  6 Bi 2.77-2.83, 1 Os 3.05
Bi 0.8406 0.6594 0.0000  6 Os 2.77-2.83, 2 Pd 2.96
Bi 0.1594 0.3406 0.0000  6 Os 2.77-2.83, 2 Pd 2.96
Bi 0.6594 0.1594 0.0000  6 Os 2.77-2.83, 2 Pd 2.96
Bi 0.3406 0.8406 0.0000  6 Os 2.77-2.83, 2 Pd 2.96

**Volume**: 198 Å³/cell
**Fermi-level density of states**: 6.82 states/eV/cell
**Total magnetic moment**: 0.00 Bohr magnetons per cell
**Raw total energy**: -61.258 eV/cell

***

An optimized crystal structure of Ac5NdHo2. Source: the Alexandria database, functional PBE.

Unit cell a=5.4510 b=7.6412 c=15.2804 alpha=90.00 beta=90.00 gamma=90.00
Closest atoms and distances in Å follow each position.
Fractional positions:
Nd 0.0000 0.0000 0.5000  8 Ac 3.78-3.82, 4 Ho 3.85
Nd 0.0000 0.5000 0.0000  8 Ac 3.78-3.82, 4 Ho 3.85
Ac 0.0000 0.5083 0.7526  1 Nd 3.78, 4 Ho 3.81-3.88, 7 Ac 3.82-3.88
Ac 0.0000 0.4917 0.2474  1 Nd 3.78, 4 Ho 3.81-3.88, 7 Ac 3.82-3.88
Ac 0.0000 0.0083 0.7474  1 Nd 3.78, 4 Ho 3.81-3.88, 7 Ac 3.82-3.88
Ac 0.0000 0.0000 0.0000  4 Ho 3.82, 2 Nd 3.82, 6 Ac 3.84-3.86
Ac 0.5000 0.7574 0.6221  4 Ho 3.77-3.87, 2 Nd 3.79, 6 Ac 3.84-3.88
Ac 0.5000 0.7426 0.1221  4 Ho 3.77-3.87, 2 Nd 3.79, 6 Ac 3.84-3.88
Ac 0.5000 0.2426 0.3779  4 Ho 3.77-3.87, 2 Nd 3.79, 6 Ac 3.84-3.88
Ac 0.0000 0.5000 0.5000  4 Ho 3.82, 2 Nd 3.82, 6 Ac 3.84-3.86
Ac 0.0000 0.9917 0.2526  1 Nd 3.78, 4 Ho 3.81-3.88, 7 Ac 3.82-3.88
Ac 0.5000 0.2574 0.8779  4 Ho 3.77-3.87, 2 Nd 3.79, 6 Ac 3.84-3.88
Ho 0.5000 0.2544 0.6243  10 Ac 3.77-3.88, 2 Nd 3.85
Ho 0.5000 0.7456 0.3757  10 Ac 3.77-3.88, 2 Nd 3.85
Ho 0.5000 0.7544 0.8757  10 Ac 3.77-3.88, 2 Nd 3.85
Ho 0.5000 0.2456 0.1243  10 Ac 3.77-3.88, 2 Nd 3.85

**Volume**: 636 Å³/cell
**Fermi-level density of states**: 19.61 states/eV/cell
**Total magnetic moment**: 0.00 Bohr magnetons per cell
**Raw total energy**: -68.286 eV/cell

***

An optimized crystal structure of Mg2CuN. Source: the Alexandria database, functional PBE.

Unit cell a=6.0010 b=6.0010 c=5.7474 alpha=58.53 beta=58.53 gamma=90.00
Closest atoms and distances in Å follow each position.
Fractional positions:
Cu 0.7500 0.2500 0.5000  4 Mg 2.78
Cu 0.0000 0.0000 0.0000  4 Mg 2.78
Mg 0.2307 0.6250 0.2500  2 N 1.98
Mg 0.3750 0.4807 0.7500  2 N 1.98
Mg 0.8750 0.7693 0.7500  2 N 1.98
Mg 0.5193 0.1250 0.2500  2 N 1.98
N 0.5000 0.5000 0.0000  4 Mg 1.98
N 0.2500 0.7500 0.5000  4 Mg 1.98

**Volume**: 140 Å³/cell
**Fermi-level density of states**: 0.59 states/eV/cell
**Total magnetic moment**: 0.00 Bohr magnetons per cell
**E_form (uncorrected)**: -0.1 eV per formula unit

***

An optimized crystal structure of Sc3Rh2. Source: the Alexandria database, functional PBE.

Unit cell a=8.4644 b=7.4551 c=5.5677 alpha=79.64 beta=60.04 gamma=40.32
Closest atoms and distances in Å follow each position.
Fractional positions:
Rh 0.5416 0.3417 0.9583  8 Sc 2.63-2.91
Rh 0.9083 0.7084 0.0917  8 Sc 2.63-2.91
Rh 0.1583 0.9583 0.3417  8 Sc 2.63-2.91
Rh 0.2917 0.0917 0.7084  8 Sc 2.63-2.91
Sc 0.4811 0.2809 0.5190  5 Rh 2.63-2.91, 2 Sc 2.79
Sc 0.9691 0.7689 0.5310  5 Rh 2.63-2.91, 2 Sc 2.79
Sc 0.7190 0.5190 0.2809  5 Rh 2.63-2.91, 2 Sc 2.79
Sc 0.1000 0.9000 0.9000  6 Rh 2.66-2.90
Sc 0.7310 0.5310 0.7689  5 Rh 2.63-2.91, 2 Sc 2.79
Sc 0.3500 0.1500 0.1500  6 Rh 2.66-2.90

**Volume**: 184 Å³/cell
**Fermi-level density of states**: 6.96 states/eV/cell
**Total magnetic moment**: 0.00 Bohr magnetons per cell
**Raw total energy**: -73.929 eV/cell

***

An optimized crystal structure of TmZrCdCo. Source: the Alexandria database, functional PBE.

Unit cell a=4.8654 b=4.8654 c=4.8654 alpha=60.00 beta=60.00 gamma=60.00
Closest atoms and distances in Å follow each position.
Fractional positions:
Tm 0.5000 0.5000 0.5000  4 Cd 2.98, 4 Co 2.98
Zr 0.0000 0.0000 0.0000  4 Co 2.98, 4 Cd 2.98
Co 0.2500 0.2500 0.2500  4 Zr 2.98, 4 Tm 2.98
Cd 0.7500 0.7500 0.7500  4 Zr 2.98, 4 Tm 2.98

**Volume**: 81 Å³/cell
**Fermi-level density of states**: 4.02 states/eV/cell
**Total magnetic moment**: 0.57 Bohr magnetons per cell
**Raw total energy**: -21.271 eV/cell

***

An optimized crystal structure of AlGa2Cl5. Source: the Alexandria database, functional PBE.

Unit cell a=6.9941 b=6.9941 c=7.2267 alpha=118.85 beta=118.85 gamma=90.00
Closest atoms and distances in Å follow each position.
Fractional positions:
Cl 0.2638 0.8112 0.0745  1 Al 2.30
Cl 0.7824 0.7824 0.5606  1 Al 2.17
Cl 0.2648 0.2648 0.0765  1 Al 2.30
Cl 0.8103 0.8103 0.0725  1 Al 2.31
Cl 0.8112 0.2638 0.0745  1 Al 2.30
Ga 0.6803 0.1777 0.3622  4 Cl 2.90-2.93
Ga 0.1778 0.6802 0.3622  4 Cl 2.90-2.93
Al 0.9865 0.9865 0.9710  5 Cl 2.17-2.31

**Volume**: 258 Å³/cell
**Fermi-level density of states**: 0.00 states/eV/cell
**Total magnetic moment**: 0.00 Bohr magnetons per cell
**E_form (uncorrected)**: -8.8 eV per formula unit